DFT (PBE) results for LiBeTc after structural relaxation. Values from VASP.

Geometry as Quantum ESPRESSO input:
```
&SYSTEM
  ibrav = 0, nat = 3, ntyp = 3
/
ATOMIC_SPECIES
Be 9.01 Be.upf
Li 6.94 Li.upf
Tc 98.00 Tc.upf
CELL_PARAMETERS angstrom
6.575 -0.045 0.038
5.945 2.423 -0.095
0.630 -0.522 2.416
ATOMIC_POSITIONS crystal
Be 0.992 0.992 0.008
Li 0.663 0.663 0.337
Tc 0.345 0.345 0.655
```

Properties
Energy above the lowest structure with this stoichiometry (eV/atom): 0.023
ΔH_f (0 K) (eV/atom): 0.21
Symmetry: Fmm2 (42)
Fermi-level density of states (states/eV per atom): 0.2934
Raw total energy (eV per atom): -5.13